A plane-wave DFT calculation with PBE was carried out for a relaxed PrThAgRu crystal.

Summary:
- ΔH_f (0 K): -3.60 kcal/mol of atoms
- Calculated volume: 24.249 A^3/atom

Cell lengths 5.157, 5.157, 5.157 Å; angles 60.00, 60.00, 60.00 degrees
Atoms (fractional coordinates):
Ag  0.250  0.250  0.250
Ru  0.750  0.750  0.750
Th  0.500  0.500  0.500
Pr  0.000  0.000  0.000